Material: KSi2Cl
Method: DFT, PBE
State: relaxed

a b c (Å): 2.840 5.407 6.806
angles (deg): 90.00 90.00 90.00
Fractional coordinates of all 4 atoms:
K1 0.000 0.000 0.000
Si1 0.500 0.221 0.500
Si2 0.500 0.779 0.500
Cl1 0.000 0.500 0.000

Properties
Calculated density ... 2.08 g/cm³
Energy above the most stable polymorph in this dataset ... 640 meV per atom
VASP energy ... -12.9 eV per cell
Total moment ... 0.00 μB per formula unit